(1)
Here is Ti2Fe2Si2Ge after structural relaxation from the Alexandria database. Energies are from PBE-GGA.

Summary:
The formation energy from raw total energies is 0.256 eV per atom.

Lattice parameters (Å, degrees): 4.1529 4.1529 13.0310 90.00 90.00 90.00
Last column: nearest neighbours and their distance in Å.
Space group I4/mmm (No. 139)
Unique sites:
Ti 0.0000 0.0000 0.1882 x4  1 Ge 2.45, 1 Si 2.57
Fe 0.0000 0.5000 0.0000 x4  2 Ge 2.08
Si 0.0000 0.0000 0.3852 x4  4 Fe 2.56, 1 Ti 2.57
Ge 0.0000 0.0000 0.0000 x2  4 Fe 2.08


(2)
Here is TmFe2SiGe after structural relaxation from the Alexandria database. Energies are from PBE-GGA.

Summary:
The formation energy from raw total energies is -0.565 eV per atom.

Lattice parameters (Å, degrees): 5.6071 9.6498 5.6038 90.00 90.00 90.00
Last column: nearest neighbours and their distance in Å.
Space group Cmcm (No. 63)
Unique sites:
Tm 0.0000 0.2480 0.2500 x4  4 Ge 3.04-3.05, 4 Si 3.10-3.12, 8 Fe 3.10-3.14
Fe 0.2488 0.0000 0.0000 x8  2 Si 2.25, 2 Ge 2.34
Si 0.0000 0.1106 0.7500 x4  4 Fe 2.25
Ge 0.0000 0.3728 0.7500 x4  4 Fe 2.34, 1 Si 2.53


Number 1: theoretical density 4969 kg/m³. Number 2: theoretical density 8354 kg/m³.